Density functional theory data (PBE) for a relaxed structure of LaPrAgPb.

The crystal system is cubic. For the formation energy, the calculation gives -438 meV per atom. As for the uncorrected energy: -4.505 eV/atom. The calculation puts the density of states at the Fermi level at 3.5 states/eV/f.u.

The structure belongs to space group F-43m (No. 216); the cell edges are 7.8072, 7.8072 and 7.8072 Å and the angles 90.00°, 90.00° and 90.00°. The inequivalent atoms are La at (0.0000, 0.0000, 0.0000), Pr at (0.0000, 0.0000, 0.5000), Ag at (0.2500, 0.2500, 0.2500) and Pb at (0.2500, 0.2500, 0.7500).


Density functional theory data (PBE) for a relaxed structure of Cs3Na2IrO6.

The crystal system is monoclinic. As for the uncorrected energy: -4.752 eV/atom. As for the energy relative to the elements, uncorrected: -13.22 eV per formula unit. The calculation puts the density of states at the Fermi level at 6.6 states/eV/f.u.

The structure belongs to space group C2/m (No. 12); the cell edges are 6.2486, 10.9553 and 6.7411 Å and the angles 90.00°, 107.04° and 90.00°. The inequivalent atoms are Cs at (0.0000, 0.0000, 0.0000), Cs at (0.0000, 0.3281, 0.0000), Na at (0.0000, 0.1643, 0.5000), Ir at (0.0000, 0.5000, 0.5000), O at (0.1882, 0.3727, 0.6654) and O at (0.1973, 0.5000, 0.3197).


Density functional theory data (PBE) for a relaxed structure of LiSc2Ru.

The crystal system is tetragonal. As for the relative energy among the computed polymorphs: 438 meV per atom. For the formation energy, the calculation gives 74 meV per atom. As for the uncorrected energy: -5.890 eV/atom. The calculation puts the density of states at the Fermi level at 2.4 states/eV/f.u.

The structure belongs to space group I-42d (No. 122); the cell edges are 7.1699, 7.1699 and 6.0254 Å and the angles 90.00°, 90.00° and 90.00°. The inequivalent atoms are Li at (0.0000, 0.0000, 0.0000), Sc at (0.2264, 0.2500, 0.6250) and Ru at (0.0000, 0.0000, 0.5000).


Density functional theory data (PBE) for a relaxed structure of TbTm5Ir6.

The crystal system is monoclinic. For the formation energy, the calculation gives -894 meV per atom. As for the uncorrected energy: -7.574 eV/atom. The calculation puts the density of states at the Fermi level at 4.0 states/eV/f.u.

The structure belongs to space group P2/m (No. 10); the cell edges are 4.6777, 7.1020 and 7.4045 Å and the angles 90.00°, 108.35° and 90.00°. The inequivalent atoms are Tb at (0.0000, 0.0000, 0.0000), Tm at (0.0000, 0.5000, 0.0000), Tm at (0.3328, 0.0000, 0.6655), Tm at (0.3332, 0.5000, 0.6663), Ir at (0.1676, 0.2515, 0.3352) and Ir at (0.5000, 0.2533, 0.0000).


Density functional theory data (PBE) for a relaxed structure of LaNdInAu.

The crystal system is cubic. As for the relative energy among the computed polymorphs: 61 meV per atom. For the formation energy, the calculation gives -571 meV per atom. As for the uncorrected energy: -4.498 eV/atom. The calculation puts the density of states at the Fermi level at 4.6 states/eV/f.u.

The structure belongs to space group F-43m (No. 216); the cell edges are 7.7017, 7.7017 and 7.7017 Å and the angles 90.00°, 90.00° and 90.00°. The inequivalent atoms are La at (0.0000, 0.0000, 0.0000), Nd at (0.0000, 0.0000, 0.5000), In at (0.2500, 0.2500, 0.2500) and Au at (0.2500, 0.2500, 0.7500).


Density functional theory data (PBE) for a relaxed structure of SrTl2Cl.

The crystal system is monoclinic. As for the relative energy among the computed polymorphs: 24 meV per atom. As for the uncorrected energy: -2.882 eV/atom. As for the energy relative to the elements, uncorrected: -3.27 eV per formula unit. The calculation puts the density of states at the Fermi level at 2.1 states/eV/f.u.

The structure belongs to space group C2/m (No. 12); the cell edges are 15.6124, 3.9675 and 4.4238 Å and the angles 90.00°, 105.04° and 90.00°. The inequivalent atoms are Sr at (0.0000, 0.0000, 0.0000), Tl at (0.2060, 0.5000, 0.2106) and Cl at (0.0000, 0.5000, 0.5000).


Density functional theory data (PBE) for a relaxed structure of Al2ZnSe.

The crystal system is tetragonal. As for the relative energy among the computed polymorphs: 142 meV per atom. As for the uncorrected energy: -3.042 eV/atom. As for the energy relative to the elements, uncorrected: 0.08 eV per formula unit. The calculation puts the density of states at the Fermi level at 0.4 states/eV/f.u.

The structure belongs to space group I-42d (No. 122); the cell edges are 6.1284, 6.1284 and 10.5320 Å and the angles 90.00°, 90.00° and 90.00°. The inequivalent atoms are Al at (0.2428, 0.2500, 0.1250), Zn at (0.0000, 0.0000, 0.0000) and Se at (0.0000, 0.0000, 0.5000).


Density functional theory data (PBE) for a relaxed structure of ErGa3CuPt.

The crystal system is orthorhombic. For the formation energy, the calculation gives -398 meV per atom. As for the uncorrected energy: -4.362 eV/atom. The calculation puts the density of states at the Fermi level at 1.3 states/eV/f.u.

The structure belongs to space group Cmcm (No. 63); the cell edges are 5.9323, 12.2478 and 5.9287 Å and the angles 90.00°, 90.00° and 90.00°. The inequivalent atoms are Er at (0.0000, 0.2119, 0.2500), Ga at (0.0000, 0.3583, 0.7500), Ga at (0.2107, 0.0000, 0.0000), Cu at (0.0000, 0.4296, 0.2500) and Pt at (0.0000, 0.1538, 0.7500).


Density functional theory data (PBE) for a relaxed structure of AcMg2Bi3.

The crystal system is monoclinic. For the formation energy, the calculation gives -368 meV per atom. As for the uncorrected energy: -3.524 eV/atom. The calculation puts the density of states at the Fermi level at 0.8 states/eV/f.u.

The structure belongs to space group P2_1/m (No. 11); the cell edges are 5.9892, 4.6855 and 14.6187 Å and the angles 90.00°, 99.57° and 90.00°. The inequivalent atoms are Ac at (0.0057, 0.2500, 0.2490), Mg at (0.2940, 0.2500, 0.5437), Mg at (0.2974, 0.7500, 0.0443), Bi at (0.1924, 0.2500, 0.9219), Bi at (0.1947, 0.7500, 0.4206) and Bi at (0.4963, 0.2500, 0.7504).


Density functional theory data (PBE) for a relaxed structure of Ag2POs.

The crystal system is trigonal. For the formation energy, the calculation gives 158 meV per atom. As for the uncorrected energy: -5.428 eV/atom. The calculation puts the density of states at the Fermi level at 3.1 states/eV/f.u.

The structure belongs to space group R3m (No. 160, hexagonal axes); the cell edges are 2.9612, 2.9612 and 26.0927 Å and the angles 90.00°, 90.00° and 120.00°. The inequivalent atoms are Ag at (0.0000, 0.0000, 0.0000), Ag at (0.0000, 0.0000, 0.2431), P at (0.0000, 0.0000, 0.4842) and Os at (0.0000, 0.0000, 0.7577).


Density functional theory data (PBE) for a relaxed structure of SrGdY2.

The crystal system is trigonal. As for the relative energy among the computed polymorphs: 101 meV per atom. For the formation energy, the calculation gives 225 meV per atom. As for the uncorrected energy: -6.948 eV/atom. The calculation puts the density of states at the Fermi level at 6.7 states/eV/f.u.

The structure belongs to space group R-3m (No. 166, hexagonal axes); the cell edges are 3.6242, 3.6242 and 38.4289 Å and the angles 90.00°, 90.00° and 120.00°. The inequivalent atoms are Sr at (0.0000, 0.0000, 0.0000), Gd at (0.0000, 0.0000, 0.5000) and Y at (0.0000, 0.0000, 0.0924).


Density functional theory data (PBE) for a relaxed structure of Pd3S.

The crystal system is tetragonal. As for the uncorrected energy: -5.048 eV/atom. As for the energy relative to the elements, uncorrected: -0.49 eV per formula unit. The calculation puts the density of states at the Fermi level at 2.0 states/eV/f.u.

The structure belongs to space group I-4 (No. 82); the cell edges are 10.1137, 10.1137 and 4.7770 Å and the angles 90.00°, 90.00° and 90.00°. The inequivalent atoms are Pd at (0.0229, 0.3587, 0.0066), Pd at (0.0925, 0.8993, 0.7729), Pd at (0.1851, 0.7950, 0.2748) and S at (0.0096, 0.2746, 0.5119).


Density functional theory data (PBE) for a relaxed structure of YGaAg3.

The crystal system is orthorhombic. As for the relative energy among the computed polymorphs: 0 meV per atom. For the formation energy, the calculation gives -239 meV per atom. As for the uncorrected energy: -3.848 eV/atom. The calculation puts the density of states at the Fermi level at 2.3 states/eV/f.u.

The structure belongs to space group Pmmn (No. 59, origin choice 2); the cell edges are 4.7935, 6.5675 and 6.3987 Å and the angles 90.00°, 90.00° and 90.00°. The inequivalent atoms are Y at (0.2500, 0.2500, 0.2458), Ga at (0.2500, 0.7500, 0.4447), Ag at (0.2500, 0.0442, 0.7310) and Ag at (0.2500, 0.7500, 0.0525).


Density functional theory data (PBE) for a relaxed structure of YBeN.

The crystal system is orthorhombic. As for the uncorrected energy: -6.986 eV/atom. As for the energy relative to the elements, uncorrected: -2.44 eV per formula unit. The calculation puts the density of states at the Fermi level at 1.9 states/eV/f.u.

The structure belongs to space group Pmmm (No. 47); the cell edges are 3.4163, 3.4235 and 6.9045 Å and the angles 90.00°, 90.00° and 90.00°. The inequivalent atoms are Y at (0.0000, 0.0000, 0.2486), Be at (0.5000, 0.5000, 0.0000), Be at (0.5000, 0.5000, 0.5000), N at (0.0000, 0.5000, 0.5000) and N at (0.5000, 0.0000, 0.0000).


Density functional theory data (PBE) for a relaxed structure of TmGa4Rh2.

The crystal system is orthorhombic. For the formation energy, the calculation gives -706 meV per atom. As for the uncorrected energy: -5.174 eV/atom. The calculation puts the density of states at the Fermi level at 2.6 states/eV/f.u.

The structure belongs to space group Pnma (No. 62); the cell edges are 16.5210, 4.1501 and 6.7867 Å and the angles 90.00°, 90.00° and 90.00°. The inequivalent atoms are Tm at (0.1423, 0.2500, 0.0631), Ga at (0.0240, 0.7500, 0.1401), Ga at (0.0539, 0.2500, 0.4939), Ga at (0.1751, 0.7500, 0.3709), Ga at (0.2092, 0.7500, 0.8104), Rh at (0.0590, 0.7500, 0.7597) and Rh at (0.1946, 0.2500, 0.6002).


Density functional theory data (PBE) for a relaxed structure of B2C.

The crystal system is monoclinic. As for the relative energy among the computed polymorphs: 168 meV per atom. For the formation energy, the calculation gives 353 meV per atom. As for the uncorrected energy: -7.173 eV/atom. The calculation puts the density of states at the Fermi level at 0.4 states/eV/f.u.

The structure belongs to space group Cm (No. 8); the cell edges are 11.6336, 2.7080 and 5.4272 Å and the angles 90.00°, 98.91° and 90.00°. The inequivalent atoms are B at (0.0000, 0.0000, 0.0000), B at (0.0030, 0.0000, 0.3865), B at (0.0371, 0.0000, 0.7055), B at (0.1763, 0.5000, 0.7493), B at (0.3064, 0.0000, 0.9731), B at (0.3094, 0.0000, 0.5985), B at (0.4362, 0.0000, 0.8311), B at (0.4590, 0.0000, 0.5251), C at (0.1000, 0.0000, 0.2236), C at (0.1738, 0.5000, 0.2478), C at (0.2445, 0.5000, 0.5138) and C at (0.2480, 0.5000, 0.0333).